DFT (PBE) results for ZnCoCu after structural relaxation.

The total energy is -4.12 eV per atom. The energy above the most stable polymorph in this dataset is 0.074 eV/atom. The formation energy is 0.035 eV/atom. The density of states at the Fermi level is 1.9 states/eV/f.u.

The space group is P2_1/m (No. 11) and the conventional cell measures 2.6257, 3.5109 and 8.0296 Å, with angles of 90.00, 90.15 and 90.00 degrees. The asymmetric unit holds Zn at (0.2488, 0.2500, 0.0993), Co at (0.2500, 0.2500, 0.4311) and Cu at (0.2516, 0.2500, 0.7395).